# NaTcAgTe2S

A relaxed NaTcAgTe2S crystal (PBE-GGA, the Open Quantum Materials Database).

Calculated values
final energy	-51.3	eV/cell

Unit cell a=7.414 b=7.414 c=10.157 alpha=90.00 beta=90.00 gamma=149.39
Positions (direct):
Na (0.248, 0.752, 0.750)
Na (0.752, 0.248, 0.250)
Tc (0.500, 0.500, 0.000)
Tc (0.500, 0.500, 0.500)
Ag (0.047, 0.953, 0.250)
Ag (0.953, 0.047, 0.750)
Te (0.139, 0.861, 0.018)
Te (0.139, 0.861, 0.482)
Te (0.861, 0.139, 0.518)
Te (0.861, 0.139, 0.982)
S (0.437, 0.563, 0.250)
S (0.563, 0.437, 0.750)